No. 1
The following is a DFT calculation (PBE-GGA) of a geometry-optimized NaSi structure.

abc: 10.8651 10.8651 3.7493
angles: 90.00 90.00 90.00
Sites, in units of the cell vectors:
Na1 0.0000 0.3674 0.0000
Na2 0.0000 0.6326 0.0000
Na3 0.2423 0.2423 0.5000
Na4 0.2423 0.7577 0.5000
Na5 0.3674 0.0000 0.0000
Na6 0.6326 0.0000 0.0000
Na7 0.7577 0.2423 0.5000
Na8 0.7577 0.7577 0.5000
Si1 0.2031 0.5000 0.5000
Si2 0.3380 0.5000 0.0000
Si3 0.5000 0.2031 0.5000
Si4 0.5000 0.3380 0.0000
Si5 0.5000 0.6620 0.0000
Si6 0.5000 0.7969 0.5000
Si7 0.6620 0.5000 0.0000
Si8 0.7969 0.5000 0.5000

Calculated values
- Energy above the lowest structure with this stoichiometry: 146 meV/atom
- Electronic total energy: -3.24 eV/atom
- Size of the total moment: 0.00 μB/f.u.
- Calculated density: 1.5 Mg/m³

---

No. 2
The following is a DFT calculation (PBE-GGA) of a geometry-optimized U6NbOs2 structure.

abc: 8.2104 8.2104 2.8285
angles: 90.00 90.00 119.94
Sites, in units of the cell vectors:
U1 0.1661 0.1661 0.0000
U2 0.1660 0.5001 0.0000
U3 0.5001 0.1660 0.0000
U4 0.4999 0.8340 0.0000
U5 0.8340 0.4999 0.0000
U6 0.8339 0.8339 0.0000
Nb1 0.5000 0.5000 0.5000
Os1 0.1665 0.8335 0.5000
Os2 0.8335 0.1665 0.5000

Calculated values
- Electronic total energy: -11.20 eV/atom
- Size of the total moment: 0.00 μB/f.u.
- Calculated density: 19.1 Mg/m³